# 1
Compound: Ca2Mg4Cu
Source: Alexandria via LeMat-Bulk
Functional: PBE
Structure: relaxed

Cell lengths 9.4902, 9.4902, 9.4902 Å; angles 137.97, 137.97, 60.95 degrees
Closest atoms and distances in Å follow each position.
Atoms (fractional coordinates):
Mg 0.0862 0.0862 0.3222  2 Cu 2.83, 2 Mg 2.99-3.10
Mg 0.2640 0.5862 0.0000  2 Cu 2.83, 2 Mg 2.99-3.10
Mg 0.7360 0.7360 0.3222  2 Cu 2.83, 2 Mg 2.99-3.10
Mg 0.4138 0.4138 0.6778  2 Cu 2.83, 2 Mg 2.99-3.10
Mg 0.2360 0.9138 0.0000  2 Cu 2.83, 2 Mg 2.99-3.10
Mg 0.5862 0.2640 0.0000  2 Cu 2.83, 2 Mg 2.99-3.10
Mg 0.7640 0.7640 0.6778  2 Cu 2.83, 2 Mg 2.99-3.10
Mg 0.9138 0.2360 0.0000  2 Cu 2.83, 2 Mg 2.99-3.10
Cu 0.5000 0.0000 0.5000  8 Mg 2.83
Cu 0.0000 0.5000 0.5000  8 Mg 2.83
Ca 0.4189 0.4189 0.3379  5 Ca 3.25-3.58, 6 Mg 3.30-3.64
Ca 0.9189 0.5811 0.0000  5 Ca 3.25-3.58, 6 Mg 3.30-3.64
Ca 0.5811 0.9189 0.0000  5 Ca 3.25-3.58, 6 Mg 3.30-3.64
Ca 0.0811 0.0811 0.6621  5 Ca 3.25-3.58, 6 Mg 3.30-3.64

Computed properties:
Its density of states at the Fermi level is 9.72 states/eV/cell. The value obtained for the formation energy is 0.10 eV/atom. For the polymorph energy (0 for the lowest one), the calculation gives 0.86 eV per formula unit.

# 2
Compound: CaMgCu
Source: Alexandria via LeMat-Bulk
Functional: PBE
Structure: relaxed

Cell lengths 4.0549, 5.5628, 6.8744 Å; angles 101.39, 107.15, 90.00 degrees
Closest atoms and distances in Å follow each position.
Atoms (fractional coordinates):
Cu 0.7723 0.1262 0.5446  2 Cu 2.47, 2 Mg 2.73
Cu 0.2277 0.8738 0.4554  2 Cu 2.47, 2 Mg 2.73
Ca 0.1330 0.3197 0.2661  4 Cu 3.00-3.08
Ca 0.8670 0.6803 0.7339  4 Cu 3.00-3.08
Mg 0.4149 0.2093 0.8298  3 Cu 2.73-2.76
Mg 0.5851 0.7907 0.1702  3 Cu 2.73-2.76

Computed properties:
Its density of states at the Fermi level is 3.86 states/eV/cell. The value obtained for the formation energy is -0.12 eV/atom.

Question: The highest formation energy belongs to which entry?
Answer: Ca2Mg4Cu

Question: What is the formation energy in the first record?
Answer: 0.10 eV/atom

Question: Look up the density of states at the Fermi level of the first one.
Answer: 9.72 states/eV/cell